Li7MnO3F3 | PBE+U | optimized geometry

Cell and atoms, written as POSCAR:
```
Li7MnO3F3
1.0
5.743 -0.360 0.405
-2.714 5.470 -0.181
0.832 -3.084 9.196
O F Li Mn
6 6 14 2
Cartesian
2.949 2.474 1.099
-0.401 3.996 1.790
-0.243 2.256 8.165
1.990 3.587 3.820
1.647 -1.692 5.644
3.388 0.894 3.833
0.755 1.081 2.383
0.286 1.021 5.447
3.136 1.165 6.973
4.578 0.080 0.702
4.516 -1.445 7.233
1.252 -0.463 8.355
0.741 -2.266 7.579
0.398 2.862 6.429
1.321 1.372 8.967
3.061 -1.397 8.748
4.117 1.633 5.416
2.827 0.615 1.958
1.761 -0.001 6.541
1.299 2.956 1.980
-0.904 2.336 0.583
1.641 1.677 4.093
5.593 -1.453 5.641
4.817 0.390 7.573
5.029 -0.006 3.615
3.568 2.684 3.025
-2.072 4.756 0.649
2.758 -1.105 4.033
```

**Crystal system**: triclinic
**Calculated volume**: 278.28 Å³/cell
**Calculated density**: 2.5 g/cm³
**SG**: No. 1
**ΔE to the lowest computed polymorph**: 0.000 eV per atom